1.
Here is a relaxed Lu4FeSN2 crystal from OQMD. Energies are from GGA-PBE. Values from VASP.

Results
Raw total energy: -57.22 eV/cell

Structure (Quantum ESPRESSO input):
```
&SYSTEM
  ibrav = 0, nat = 8, ntyp = 4
/
ATOMIC_SPECIES
Fe 55.84 Fe.upf
Lu 174.97 Lu.upf
N 14.01 N.upf
S 32.06 S.upf
ATOMIC_POSITIONS crystal
Fe 0.000 0.000 0.000
Lu 0.667 0.333 0.147
Lu 0.000 0.000 0.355
Lu 0.000 0.000 0.645
Lu 0.667 0.333 0.853
N 0.333 0.667 0.268
N 0.333 0.667 0.732
S 0.667 0.333 0.500
CELL_PARAMETERS angstrom
3.421 0.000 0.000
-1.710 2.963 0.000
0.000 0.000 12.975
```

---

2.
Here is a relaxed Lu4FeSN2 crystal from OQMD. Energies are from GGA-PBE. Values from VASP.

Results
Raw total energy: -57.21 eV/cell

Structure (Quantum ESPRESSO input):
```
&SYSTEM
  ibrav = 0, nat = 8, ntyp = 4
/
ATOMIC_SPECIES
Fe 55.84 Fe.upf
Lu 174.97 Lu.upf
N 14.01 N.upf
S 32.06 S.upf
ATOMIC_POSITIONS crystal
Fe 0.667 0.333 0.500
Lu 0.667 0.333 0.145
Lu 0.000 0.000 0.352
Lu 0.000 0.000 0.648
Lu 0.667 0.333 0.855
N 0.333 0.667 0.232
N 0.333 0.667 0.768
S 0.000 0.000 0.000
CELL_PARAMETERS angstrom
-0.178 -2.075 2.712
2.400 -0.503 -2.383
8.055 7.767 6.472
```

---

3.
Here is a relaxed Lu4FeSbN2 crystal from OQMD. Energies are from GGA-PBE. Values from VASP.

Results
Raw total energy: -54.70 eV/cell

Structure (Quantum ESPRESSO input):
```
&SYSTEM
  ibrav = 0, nat = 8, ntyp = 4
/
ATOMIC_SPECIES
Fe 55.84 Fe.upf
Lu 174.97 Lu.upf
N 14.01 N.upf
Sb 121.76 Sb.upf
ATOMIC_POSITIONS crystal
Fe 0.000 0.000 0.000
Lu 0.667 0.333 0.139
Lu 0.000 0.000 0.328
Lu 0.000 0.000 0.672
Lu 0.667 0.333 0.861
N 0.333 0.667 0.249
N 0.333 0.667 0.751
Sb 0.667 0.333 0.500
CELL_PARAMETERS angstrom
3.406 0.000 0.000
-1.703 2.950 0.000
0.000 0.000 14.240
```

---

Which of these has the lowest raw total energy? number 1